# 1
This record from the Alexandria database describes an optimized crystal structure of NiSnH3. The functional is PBE.

Values from the calculation:
The calculation puts the volume at 59.7 Å³/cell. The energy above the most stable polymorph in this dataset is 0.719 eV/atom. The space-group type is No. 221.

Lattice parameters (Å, degrees): 3.9086 3.9086 3.9086 90.00 90.00 90.00
Fractional positions:
1 H 0.0000 0.5000 0.0000
2 H 0.5000 0.0000 0.0000
3 H 0.0000 0.0000 0.5000
4 Sn 0.0000 0.0000 0.0000
5 Ni 0.5000 0.5000 0.5000

# 2
This record from the Alexandria database describes an optimized crystal structure of Ce2NpUN4. The functional is PBE.

Values from the calculation:
The calculation puts the volume at 121.4 Å³/cell. Its uncorrected formation energy is -1.378 eV per atom. The space-group type is No. 10.

Lattice parameters (Å, degrees): 3.4949 6.0384 6.0994 109.43 90.00 90.00
Fractional positions:
1 U 0.5000 0.5000 0.0000
2 N 0.0000 0.2672 0.7784
3 N 0.5000 0.2485 0.2240
4 N 0.0000 0.7328 0.2216
5 N 0.5000 0.7515 0.7760
6 Np 0.0000 0.0000 0.0000
7 Ce 0.5000 0.0000 0.5000
8 Ce 0.0000 0.5000 0.5000

# 3
This record from the Alexandria database describes an optimized crystal structure of Cs2YZrF6. The functional is PBE.

Values from the calculation:
The calculation puts the volume at 201.1 Å³/cell. Its uncorrected formation energy is -2.851 eV per atom. The space-group type is No. 225.

Lattice parameters (Å, degrees): 6.5767 6.5767 6.5766 60.00 60.00 90.00
Fractional positions:
1 F 0.2617 0.2617 0.4765
2 F 0.2618 0.7382 0.0000
3 F 0.2618 0.2618 0.0000
4 F 0.7382 0.7382 0.0000
5 F 0.7382 0.2618 0.0000
6 F 0.7383 0.7383 0.5235
7 Cs 0.7500 0.2500 0.5000
8 Cs 0.2500 0.7500 0.5000
9 Zr 0.0000 0.0000 0.0000
10 Y 0.5000 0.5000 0.0000

# 4
This record from the Alexandria database describes an optimized crystal structure of LiTl3B. The functional is PBE.

Values from the calculation:
The calculation puts the volume at 126.8 Å³/cell. The calculation puts the formation energy at 571 meV/atom. The energy above the most stable polymorph in this dataset is 0.000 eV/atom. The space-group type is No. 221.

Lattice parameters (Å, degrees): 5.0243 5.0243 5.0243 90.00 90.00 90.00
Fractional positions:
1 Tl 0.5000 0.0000 0.0000
2 Tl 0.0000 0.0000 0.5000
3 Tl 0.0000 0.5000 0.0000
4 Li 0.5000 0.5000 0.5000
5 B 0.0000 0.0000 0.0000

# 5
This record from the Alexandria database describes an optimized crystal structure of IrRuS2N. The functional is PBE.

Values from the calculation:
The calculation puts the volume at 79.4 Å³/cell. Its uncorrected formation energy is 1.013 eV per atom. The energy above the most stable polymorph in this dataset is 0.022 eV/atom. The space-group type is No. 123.

Lattice parameters (Å, degrees): 4.7128 4.7128 3.5733 90.00 90.00 90.00
Fractional positions:
1 Ir 0.5000 0.5000 0.5000
2 S 0.5000 0.0000 0.0000
3 S 0.0000 0.5000 0.0000
4 Ru 0.0000 0.0000 0.0000
5 N 0.0000 0.0000 0.5000

# 6
This record from the Alexandria database describes an optimized crystal structure of Tb2CeIn4. The functional is PBE.

Values from the calculation:
The calculation puts the volume at 208.5 Å³/cell. The calculation puts the formation energy at -262 meV/atom. The space-group type is No. 139.

Lattice parameters (Å, degrees): 5.3924 5.3924 8.1200 109.39 109.39 90.00
Fractional positions:
1 In 0.6194 0.1194 0.2388
2 In 0.8806 0.3806 0.7612
3 In 0.1194 0.6194 0.2388
4 In 0.3806 0.8806 0.7612
5 Tb 0.7447 0.7447 0.4894
6 Tb 0.2553 0.2553 0.5106
7 Ce 0.0000 0.0000 0.0000

# 7
This record from the Alexandria database describes an optimized crystal structure of La2SiSn2. The functional is PBE.

Values from the calculation:
The calculation puts the volume at 287.3 Å³/cell. Its uncorrected formation energy is -0.519 eV per atom. The space-group type is No. 127.

Lattice parameters (Å, degrees): 7.7318 7.7318 4.8061 90.00 90.00 90.00
Fractional positions:
1 Sn 0.3666 0.8666 0.0000
2 Sn 0.6334 0.1334 0.0000
3 Sn 0.1334 0.3666 0.0000
4 Sn 0.8666 0.6334 0.0000
5 La 0.6753 0.8247 0.5000
6 La 0.1753 0.6753 0.5000
7 La 0.8247 0.3247 0.5000
8 La 0.3247 0.1753 0.5000
9 Si 0.0000 0.0000 0.0000
10 Si 0.5000 0.5000 0.0000

# 8
This record from the Alexandria database describes an optimized crystal structure of TlHgF3. The functional is PBE.

Values from the calculation:
The calculation puts the volume at 93.5 Å³/cell. Its uncorrected formation energy is -1.368 eV per atom. The space-group type is No. 221.

Lattice parameters (Å, degrees): 4.5392 4.5392 4.5392 90.00 90.00 90.00
Fractional positions:
1 F 0.0000 0.5000 0.0000
2 F 0.0000 0.0000 0.5000
3 F 0.5000 0.0000 0.0000
4 Hg 0.5000 0.5000 0.5000
5 Tl 0.0000 0.0000 0.0000

# 9
This record from the Alexandria database describes an optimized crystal structure of LaTaAgBi2. The functional is PBE.

Values from the calculation:
The calculation puts the volume at 159.8 Å³/cell. The calculation puts the formation energy at 1060 meV/atom. The space-group type is No. 123.

Lattice parameters (Å, degrees): 5.3786 5.5250 5.3786 90.00 90.00 90.00
Fractional positions:
1 La 0.0000 0.5000 0.0000
2 Ta 0.5000 0.5000 0.5000
3 Ag 0.0000 0.0000 0.0000
4 Bi 0.0000 0.0000 0.5000
5 Bi 0.5000 0.0000 0.0000

# 10
This record from the Alexandria database describes an optimized crystal structure of SmY2Mg. The functional is PBE.

Values from the calculation:
The calculation puts the volume at 121.6 Å³/cell. The calculation puts the formation energy at 18 meV/atom. The energy above the most stable polymorph in this dataset is 0.057 eV/atom. The space-group type is No. 123.

Lattice parameters (Å, degrees): 4.9709 4.9462 4.9462 90.00 90.00 90.00
Fractional positions:
1 Y 0.0000 0.5000 0.0000
2 Y 0.0000 0.0000 0.5000
3 Mg 0.5000 0.0000 0.0000
4 Sm 0.5000 0.5000 0.5000

# 11
This record from the Alexandria database describes an optimized crystal structure of InHgPb2. The functional is PBE.

Values from the calculation:
The calculation puts the volume at 243.3 Å³/cell. The calculation puts the formation energy at 85 meV/atom. The energy above the most stable polymorph in this dataset is 0.080 eV/atom. The space-group type is No. 122.

Lattice parameters (Å, degrees): 4.5581 4.5581 12.1482 79.19 79.19 90.00
Fractional positions:
1 Pb 0.6273 0.1250 0.2500
2 Pb 0.8750 0.8773 0.7500
3 Pb 0.3750 0.3727 0.7500
4 Pb 0.1227 0.6250 0.2500
5 Hg 0.0000 0.0000 0.0000
6 Hg 0.7500 0.2500 0.5000
7 In 0.2500 0.7500 0.5000
8 In 0.5000 0.5000 0.0000

# 12
This record from the Alexandria database describes an optimized crystal structure of K3Ho3NpSe8. The functional is PBE.

Values from the calculation:
The calculation puts the volume at 469.5 Å³/cell. Its uncorrected formation energy is -1.624 eV per atom. The space-group type is No. 166.

Lattice parameters (Å, degrees): 8.3372 8.3367 9.1675 117.06 90.00 120.00
Fractional positions:
1 Se 0.2322 0.9678 0.6998
2 Se 0.2656 0.5311 0.2968
3 Se 0.7678 0.5355 0.3001
4 Se 0.7344 0.4689 0.7032
5 Se 0.2322 0.4645 0.6999
6 Se 0.2645 0.0322 0.3002
7 Se 0.7678 0.0322 0.3002
8 Se 0.7355 0.9678 0.6998
9 Ho 0.5000 0.0000 0.5000
10 Ho 0.5000 0.5000 0.5000
11 Ho 0.0000 0.5000 0.5000
12 K 0.0000 0.0000 0.0000
13 K 0.5000 0.5000 0.0000
14 K 0.0000 0.5000 0.0000
15 Np 0.0000 0.0000 0.5000

# 13
This record from the Alexandria database describes an optimized crystal structure of Cd8Hg2Au. The functional is PBE.

Values from the calculation:
The calculation puts the volume at 259.9 Å³/cell. The calculation puts the formation energy at -21 meV/atom. The space-group type is No. 12.

Lattice parameters (Å, degrees): 4.6781 6.2488 10.4474 61.64 102.94 90.00
Fractional positions:
1 Cd 0.5965 0.4864 0.1930
2 Cd 0.8058 0.8771 0.6117
3 Cd 0.0230 0.2288 0.0459
4 Cd 0.3539 0.0588 0.7078
5 Cd 0.4035 0.5136 0.8070
6 Cd 0.9770 0.7712 0.9541
7 Cd 0.1942 0.1229 0.3883
8 Cd 0.6461 0.9412 0.2922
9 Hg 0.1855 0.6059 0.3710
10 Hg 0.8145 0.3941 0.6290
11 Au 0.5000 0.0000 0.0000

# 14
This record from the Alexandria database describes an optimized crystal structure of RbTiSb2C. The functional is PBE.

Values from the calculation:
The calculation puts the volume at 119.9 Å³/cell. Its uncorrected formation energy is 0.650 eV per atom. The space-group type is No. 123.

Lattice parameters (Å, degrees): 5.3019 4.2661 5.3019 90.00 90.00 90.00
Fractional positions:
1 C 0.0000 0.0000 0.0000
2 Sb 0.0000 0.0000 0.5000
3 Sb 0.5000 0.0000 0.0000
4 Rb 0.5000 0.5000 0.5000
5 Ti 0.0000 0.5000 0.0000

# 15
This record from the Alexandria database describes an optimized crystal structure of Li3Nd4Bi8. The functional is PBE.

Values from the calculation:
The calculation puts the volume at 430.0 Å³/cell. The calculation puts the formation energy at -644 meV/atom. The space-group type is No. 115.

Lattice parameters (Å, degrees): 4.5770 4.5770 20.5245 90.00 90.00 90.00
Fractional positions:
1 Li 0.0000 0.0000 0.5000
2 Li 0.0000 0.0000 0.0000
3 Li 0.5000 0.5000 0.5000
4 Nd 0.5000 0.0000 0.8852
5 Nd 0.0000 0.5000 0.6329
6 Nd 0.5000 0.0000 0.3671
7 Nd 0.0000 0.5000 0.1148
8 Bi 0.5000 0.0000 0.5853
9 Bi 0.5000 0.5000 0.2415
10 Bi 0.5000 0.5000 0.7585
11 Bi 0.0000 0.5000 0.9294
12 Bi 0.0000 0.5000 0.4147
13 Bi 0.0000 0.0000 0.2411
14 Bi 0.0000 0.0000 0.7589
15 Bi 0.5000 0.0000 0.0706

# 16
This record from the Alexandria database describes an optimized crystal structure of ErNi6Ge. The functional is PBE.

Values from the calculation:
The calculation puts the volume at 116.2 Å³/cell. The calculation puts the formation energy at 4 meV/atom. The space-group type is No. 166.

Lattice parameters (Å, degrees): 6.1180 6.1180 5.0334 52.57 52.57 60.00
Fractional positions:
1 Ni 0.8586 0.8586 0.8071
2 Ni 0.5242 0.1414 0.1929
3 Ni 0.8586 0.4758 0.8071
4 Ni 0.1414 0.1414 0.1929
5 Ni 0.1414 0.5242 0.1929
6 Ni 0.4758 0.8586 0.8071
7 Ge 0.0000 0.0000 0.0000
8 Er 0.5000 0.5000 0.5000

# 17
This record from the Alexandria database describes an optimized crystal structure of Zr12In3Pt. The functional is PBE.

Values from the calculation:
The calculation puts the volume at 350.1 Å³/cell. The calculation puts the formation energy at -287 meV/atom. The space-group type is No. 123.

Lattice parameters (Å, degrees): 4.4384 4.4384 17.7719 90.00 90.00 90.00
Fractional positions:
1 In 0.0000 0.0000 0.7546
2 In 0.0000 0.0000 0.2454
3 In 0.0000 0.0000 0.5000
4 Zr 0.5000 0.5000 0.5000
5 Zr 0.5000 0.5000 0.7550
6 Zr 0.5000 0.0000 0.6261
7 Zr 0.0000 0.5000 0.8814
8 Zr 0.5000 0.5000 0.0000
9 Zr 0.0000 0.5000 0.6261
10 Zr 0.0000 0.5000 0.1186
11 Zr 0.5000 0.0000 0.8814
12 Zr 0.5000 0.0000 0.1186
13 Zr 0.5000 0.0000 0.3739
14 Zr 0.0000 0.5000 0.3739
15 Zr 0.5000 0.5000 0.2450
16 Pt 0.0000 0.0000 0.0000

# 18
This record from the Alexandria database describes an optimized crystal structure of NaZrInCl6. The functional is PBE.

Values from the calculation:
The calculation puts the volume at 573.5 Å³/cell. Its uncorrected formation energy is -1.611 eV per atom. The space-group type is No. 163.

Lattice parameters (Å, degrees): 7.0556 7.0556 13.3026 90.00 90.00 120.00
Fractional positions:
1 Cl 0.9644 0.6121 0.3588
2 Cl 0.9644 0.3524 0.1412
3 Cl 0.6476 0.0356 0.3588
4 Cl 0.3524 0.9644 0.6412
5 Cl 0.0356 0.3879 0.6412
6 Cl 0.6121 0.6476 0.6412
7 Cl 0.6476 0.6121 0.1412
8 Cl 0.3879 0.3524 0.3588
9 Cl 0.3879 0.0356 0.1412
10 Cl 0.3524 0.3879 0.8588
11 Cl 0.6121 0.9644 0.8588
12 Cl 0.0356 0.6476 0.8588
13 Zr 0.6667 0.3333 0.2500
14 Zr 0.3333 0.6667 0.7500
15 Na 0.6667 0.3333 0.7500
16 Na 0.3333 0.6667 0.2500
17 In 0.0000 0.0000 0.5000
18 In 0.0000 0.0000 0.0000

# 19
This record from the Alexandria database describes an optimized crystal structure of BaU2RhS8. The functional is PBE.

Values from the calculation:
The calculation puts the volume at 303.0 Å³/cell. Its uncorrected formation energy is -0.998 eV per atom. The space-group type is No. 10.

Lattice parameters (Å, degrees): 6.2619 5.9009 8.2162 89.98 89.98 86.28
Fractional positions:
1 S 0.8286 0.2461 0.1931
2 S 0.3929 0.2756 0.5001
3 S 0.1711 0.7537 0.1932
4 S 0.1714 0.7539 0.8069
5 S 0.3479 0.2592 0.0000
6 S 0.6521 0.7408 0.0000
7 S 0.8289 0.2463 0.8068
8 S 0.6071 0.7244 0.4999
9 Ba 0.0000 0.0000 0.5000
10 Rh 0.0000 0.0000 0.0000
11 U 0.5000 0.5000 0.2385
12 U 0.5000 0.5000 0.7615

# 20
This record from the Alexandria database describes an optimized crystal structure of Mg4AgAs. The functional is PBE.

Values from the calculation:
The calculation puts the volume at 130.1 Å³/cell. The calculation puts the formation energy at 162 meV/atom. The space-group type is No. 216.

Lattice parameters (Å, degrees): 5.6881 5.6881 5.6881 60.00 60.00 60.00
Fractional positions:
1 As 0.0000 0.0000 0.0000
2 Ag 0.7500 0.7500 0.7500
3 Mg 0.8766 0.3745 0.3745
4 Mg 0.3745 0.3745 0.8766
5 Mg 0.3745 0.8766 0.3745
6 Mg 0.3745 0.3745 0.3745

# 21
This record from the Alexandria database describes an optimized crystal structure of LiAl6Pd. The functional is PBE.

Values from the calculation:
The calculation puts the volume at 129.3 Å³/cell. The calculation puts the formation energy at -176 meV/atom. The energy above the most stable polymorph in this dataset is 0.040 eV/atom. The space-group type is No. 12.

Lattice parameters (Å, degrees): 7.9314 6.5419 5.0993 50.10 60.37 39.58
Fractional positions:
1 Al 0.2177 0.4331 0.0000
2 Al 0.2707 0.8617 0.3760
3 Al 0.2707 0.2377 0.6240
4 Al 0.7293 0.1383 0.6240
5 Al 0.7293 0.7623 0.3760
6 Al 0.7823 0.5669 0.0000
7 Pd 0.5000 0.5000 0.0000
8 Li 0.0000 0.0000 0.0000